Material: Th2P3Pd2
Method: DFT, GGA-PBE
State: relaxed

Values from the calculation:
**ΔE_f**: -1.093 eV/atom
**M_tot**: 0.000 μB per formula unit
**Theoretical density**: 9.0 g cm⁻³
**Density of states at the Fermi level**: 9.6 states/eV/cell

Structure (POSCAR):
```
Th2P3Pd2
1.0
7.460 -2.043 0.000
7.460 2.043 0.000
-6.709 0.000 9.350
Th P Pd
4 6 4
Direct
0.104 0.104 0.443
0.239 0.239 0.842
0.761 0.761 0.158
0.896 0.896 0.557
0.113 0.113 0.963
0.333 0.333 0.682
0.424 0.424 0.380
0.576 0.576 0.620
0.667 0.667 0.318
0.887 0.887 0.037
0.090 0.090 0.160
0.449 0.449 0.188
0.551 0.551 0.812
0.910 0.910 0.840
```